Arrangement A

NaDySO: relaxed, PBE.

Unit cell a=3.919 b=3.919 c=9.203 alpha=90.00 beta=90.00 gamma=90.00
Positions (direct):
Dy  0.250  0.250  0.119
Dy  0.750  0.750  0.881
Na  0.750  0.250  0.500
Na  0.250  0.750  0.500
O  0.750  0.250  0.000
O  0.250  0.750  0.000
S  0.750  0.750  0.298
S  0.250  0.250  0.702

Values from the calculation:
Symmetry: P4/nmm, No. 129
Crystal system: tetragonal

---

Arrangement B

NaDySO: relaxed, PBE.

Unit cell a=5.542 b=5.539 c=10.479 alpha=90.00 beta=105.97 gamma=90.00
Positions (direct):
Dy  0.555  0.359  0.109
Dy  0.055  0.858  0.109
Dy  0.945  0.358  0.891
Dy  0.445  0.859  0.891
Na  0.947  0.115  0.405
Na  0.456  0.619  0.405
Na  0.544  0.119  0.595
Na  0.053  0.615  0.595
O  0.250  0.107  0.000
O  0.750  0.108  0.000
O  0.250  0.608  0.000
O  0.750  0.607  0.000
S  0.402  0.118  0.315
S  0.906  0.616  0.315
S  0.094  0.116  0.685
S  0.598  0.618  0.685

Values from the calculation:
Symmetry: P2_1, No. 4
Crystal system: monoclinic

---

Arrangement C

NaDySO: relaxed, PBE.

Unit cell a=4.271 b=7.313 c=6.030 alpha=90.00 beta=90.00 gamma=90.00
Positions (direct):
Dy  0.500  0.858  0.039
Dy  0.500  0.142  0.539
Na  0.000  0.298  0.112
Na  0.000  0.702  0.612
O  0.500  0.120  0.189
O  0.500  0.880  0.689
S  0.000  0.678  0.152
S  0.000  0.322  0.652

Values from the calculation:
Symmetry: Pmc2_1, No. 26
Crystal system: orthorhombic

---

What are the relative energies? In meV per atom: arrangement A 76; arrangement B 0; arrangement C 160.

---

Arrangement A

NaDyPd: relaxed, PBE.

Unit cell a=4.789 b=4.789 c=4.789 alpha=60.00 beta=60.00 gamma=60.00
Positions (direct):
Dy  0.000  0.000  0.000
Na  0.250  0.250  0.250
Pd  0.750  0.750  0.750

Values from the calculation:
Symmetry: F-43m, No. 216
Crystal system: cubic

---

Arrangement B

NaDyPd: relaxed, PBE.

Unit cell a=4.779 b=4.779 c=4.779 alpha=60.00 beta=60.00 gamma=60.00
Positions (direct):
Dy  0.250  0.250  0.250
Na  0.750  0.750  0.750
Pd  0.000  0.000  0.000

Values from the calculation:
Symmetry: F-43m, No. 216
Crystal system: cubic

---

What are the relative energies? In meV per atom: arrangement A 384; arrangement B 0.

---

Arrangement A

RbNaDy: relaxed, PBE.

Unit cell a=6.046 b=6.046 c=6.046 alpha=60.00 beta=60.00 gamma=60.00
Each line ends with the local moment (μB).
Positions (direct):
Dy  0.250  0.250  0.250  0.23
Na  0.750  0.750  0.750  0.00
Rb  0.000  0.000  0.000  0.01

Values from the calculation:
Symmetry: F-43m, No. 216
Crystal system: cubic

---

Arrangement B

RbNaDy: relaxed, PBE.

Unit cell a=6.023 b=6.023 c=6.023 alpha=60.00 beta=60.00 gamma=60.00
Positions (direct):
Dy  0.000  0.000  0.000
Na  0.250  0.250  0.250
Rb  0.750  0.750  0.750

Values from the calculation:
Symmetry: F-43m, No. 216
Crystal system: cubic

---

What are the relative energies? In meV per atom: arrangement A 80; arrangement B 0.